No. 1
U2FeCo | PBE | optimized geometry

The structure belongs to space group P2_1/m (No. 11); the cell edges are 4.2445, 6.0406 and 4.9152 Å and the angles 90.00°, 90.01° and 90.00°. The distinct sites, in fractional coordinates, are U at (0.2502, 0.0221, 0.1850), Fe at (0.2507, 0.2500, 0.6845) and Co at (0.2493, 0.7500, 0.6494).

The formation enthalpy at 0 K comes out at -0.166 eV/atom. As for the distance to the lowest polymorph of the same formula: 0 meV per atom.

***

No. 2
U2FeCo | PBE | optimized geometry

The structure belongs to space group R-3m (No. 166, hexagonal axes); the cell edges are 4.2606, 4.2606 and 12.7844 Å and the angles 90.00°, 90.00° and 120.00°. The distinct sites, in fractional coordinates, are U at (0.0000, 0.0000, 0.2479), Fe at (0.0000, 0.0000, 0.5000) and Co at (0.0000, 0.0000, 0.0000).

The formation enthalpy at 0 K comes out at 0.115 eV/atom. As for the distance to the lowest polymorph of the same formula: 281 meV per atom.

***

No. 3
U2Fe3Co | PBE | optimized geometry

The structure belongs to space group R-3m (No. 166, hexagonal axes); the cell edges are 4.8776, 4.8776 and 12.2252 Å and the angles 90.00°, 90.00° and 120.00°. The distinct sites, in fractional coordinates, are U at (0.0000, 0.0000, 0.1222), Fe at (0.0000, 0.5000, 0.0000) and Co at (0.0000, 0.0000, 0.5000).

The formation enthalpy at 0 K comes out at -0.147 eV/atom.

***

No. 4
UFe2Co4 | PBE | optimized geometry

The structure belongs to space group I4/mmm (No. 139); the cell edges are 4.5085, 4.5085 and 9.6261 Å and the angles 90.00°, 90.00° and 90.00°. The distinct sites, in fractional coordinates, are U at (0.0000, 0.0000, 0.0000), Fe at (0.0000, 0.0000, 0.3642), Co at (0.0000, 0.5000, 0.0000) and Co at (0.0000, 0.5000, 0.2500).

The formation enthalpy at 0 K comes out at 0.256 eV/atom.

***

No. 5
UZnFeCo | PBE | optimized geometry

The structure belongs to space group F-43m (No. 216); the cell edges are 6.1716, 6.1716 and 6.1716 Å and the angles 90.00°, 90.00° and 90.00°. The distinct sites, in fractional coordinates, are U at (0.0000, 0.0000, 0.0000), Zn at (0.0000, 0.0000, 0.5000), Fe at (0.2500, 0.2500, 0.7500) and Co at (0.2500, 0.2500, 0.2500).

The formation enthalpy at 0 K comes out at 0.022 eV/atom.

***

No. 6
V5Fe4Co | PBE | optimized geometry

The structure belongs to space group P4/mmm (No. 123); the cell edges are 2.8762, 2.8762 and 14.4301 Å and the angles 90.00°, 90.00° and 90.00°. The distinct sites, in fractional coordinates, are V at (0.0000, 0.0000, 0.0000), V at (0.0000, 0.0000, 0.1995), V at (0.0000, 0.0000, 0.3980), Fe at (0.5000, 0.5000, 0.0998), Fe at (0.5000, 0.5000, 0.2991) and Co at (0.5000, 0.5000, 0.5000).

The formation enthalpy at 0 K comes out at -0.108 eV/atom.

***

No. 7
VFe2Co6 | PBE | optimized geometry

The structure belongs to space group C2/m (No. 12); the cell edges are 11.9057, 7.0748 and 2.4521 Å and the angles 90.00°, 91.72° and 90.00°. The distinct sites, in fractional coordinates, are V at (0.0000, 0.0000, 0.0000), Fe at (0.1608, 0.5000, 0.0007), Co at (0.0000, 0.3305, 0.5000) and Co at (0.1707, 0.1703, 0.3077).

The formation enthalpy at 0 K comes out at 0.088 eV/atom. As for the distance to the lowest polymorph of the same formula: 0 meV per atom.

***

No. 8
VFeCo4 | PBE | optimized geometry

The structure belongs to space group C2/m (No. 12); the cell edges are 10.5984, 6.2754 and 4.4055 Å and the angles 90.00°, 103.99° and 90.00°. The distinct sites, in fractional coordinates, are V at (0.2047, 0.0000, 0.1148), Fe at (0.0553, 0.5000, 0.7648), Co at (0.0000, 0.1900, 0.0000), Co at (0.1208, 0.1910, 0.5512) and Co at (0.1740, 0.5000, 0.2872).

The formation enthalpy at 0 K comes out at 0.184 eV/atom. As for the distance to the lowest polymorph of the same formula: 179 meV per atom.

***

No. 9
VFe2Co2 | PBE | optimized geometry

The structure belongs to space group P4/mbm (No. 127); the cell edges are 6.7441, 6.7441 and 2.5145 Å and the angles 90.00°, 90.00° and 90.00°. The distinct sites, in fractional coordinates, are V at (0.0000, 0.0000, 0.0000), Fe at (0.1232, 0.3768, 0.0000) and Co at (0.1742, 0.6742, 0.5000).

The formation enthalpy at 0 K comes out at 0.138 eV/atom. As for the distance to the lowest polymorph of the same formula: 27 meV per atom.

***

No. 10
VFe2Co | PBE | optimized geometry

The structure belongs to space group P4/mmm (No. 123); the cell edges are 3.5654, 3.5654 and 3.5752 Å and the angles 90.00°, 90.00° and 90.00°. The distinct sites, in fractional coordinates, are V at (0.0000, 0.0000, 0.0000), Fe at (0.0000, 0.5000, 0.5000) and Co at (0.5000, 0.5000, 0.0000).

The formation enthalpy at 0 K comes out at -0.101 eV/atom. As for the distance to the lowest polymorph of the same formula: 0 meV per atom.

***

No. 11
VFe2Co2 | PBE | optimized geometry

The structure belongs to space group Immm (No. 71); the cell edges are 4.0395, 4.7597 and 6.3897 Å and the angles 90.00°, 90.00° and 90.00°. The distinct sites, in fractional coordinates, are V at (0.0000, 0.0000, 0.0000), Fe at (0.0000, 0.5000, 0.1915) and Co at (0.0000, 0.2304, 0.5000).

The formation enthalpy at 0 K comes out at 0.174 eV/atom. As for the distance to the lowest polymorph of the same formula: 63 meV per atom.

***

No. 12
VFe5Co6 | PBE | optimized geometry

The structure belongs to space group Immm (No. 71); the cell edges are 4.0292, 5.7022 and 12.1033 Å and the angles 90.00°, 90.00° and 90.00°. The distinct sites, in fractional coordinates, are V at (0.0000, 0.0000, 0.0000), Fe at (0.0000, 0.0000, 0.3325), Fe at (0.0000, 0.5000, 0.0000), Fe at (0.0000, 0.5000, 0.3340), Co at (0.0000, 0.2464, 0.5000) and Co at (0.0000, 0.2512, 0.1669).

The formation enthalpy at 0 K comes out at -0.041 eV/atom.

***

No. 13
VFe4Co2 | PBE | optimized geometry

The structure belongs to space group I4/mmm (No. 139); the cell edges are 5.9047, 5.9047 and 4.7876 Å and the angles 90.00°, 90.00° and 90.00°. The distinct sites, in fractional coordinates, are V at (0.0000, 0.0000, 0.0000), Fe at (0.2001, 0.2001, 0.5000) and Co at (0.0000, 0.5000, 0.2500).

The formation enthalpy at 0 K comes out at 0.162 eV/atom. As for the distance to the lowest polymorph of the same formula: 119 meV per atom.

***

No. 14
VFeCo2 | PBE | optimized geometry

The structure belongs to space group I-42d (No. 122); the cell edges are 3.4329, 3.4329 and 16.5723 Å and the angles 90.00°, 90.00° and 90.00°. The distinct sites, in fractional coordinates, are V at (0.0000, 0.0000, 0.0000), Fe at (0.0000, 0.0000, 0.5000) and Co at (0.2386, 0.2500, 0.6250).

The formation enthalpy at 0 K comes out at 0.417 eV/atom.

***

No. 15
V4FeCo2 | PBE | optimized geometry

The structure belongs to space group I4/mmm (No. 139); the cell edges are 4.1775, 4.1775 and 11.6143 Å and the angles 90.00°, 90.00° and 90.00°. The distinct sites, in fractional coordinates, are V at (0.0000, 0.0000, 0.1972), V at (0.0000, 0.5000, 0.0000), Fe at (0.0000, 0.0000, 0.0000) and Co at (0.0000, 0.0000, 0.3847).

The formation enthalpy at 0 K comes out at 0.706 eV/atom.

***

No. 16
VFeCo4 | PBE | optimized geometry

The structure belongs to space group F-43m (No. 216); the cell edges are 6.5461, 6.5461 and 6.5461 Å and the angles 90.00°, 90.00° and 90.00°. The distinct sites, in fractional coordinates, are V at (0.0000, 0.0000, 0.0000), Fe at (0.2500, 0.2500, 0.7500) and Co at (0.1247, 0.1247, 0.3753).

The formation enthalpy at 0 K comes out at 0.005 eV/atom. As for the distance to the lowest polymorph of the same formula: 0 meV per atom.

***

No. 17
VFe2Co6 | PBE | optimized geometry

The structure belongs to space group Immm (No. 71); the cell edges are 2.4718, 6.8215 and 12.2009 Å and the angles 90.00°, 90.00° and 90.00°. The distinct sites, in fractional coordinates, are V at (0.0000, 0.0000, 0.0000), Fe at (0.0000, 0.5000, 0.1505), Co at (0.0000, 0.1736, 0.5000) and Co at (0.0000, 0.3278, 0.3265).

The formation enthalpy at 0 K comes out at 0.101 eV/atom. As for the distance to the lowest polymorph of the same formula: 13 meV per atom.

***

No. 18
VFe2Co2 | PBE | optimized geometry

The structure belongs to space group P4/mbm (No. 127); the cell edges are 6.7074, 6.7074 and 2.6192 Å and the angles 90.00°, 90.00° and 90.00°. The distinct sites, in fractional coordinates, are V at (0.0000, 0.0000, 0.0000), Fe at (0.1633, 0.3367, 0.5000) and Co at (0.1339, 0.6339, 0.0000).

The formation enthalpy at 0 K comes out at 0.111 eV/atom. As for the distance to the lowest polymorph of the same formula: 0 meV per atom.

***

No. 19
V5Fe2Co12 | PBE | optimized geometry

The structure belongs to space group C2/m (No. 12); the cell edges are 13.8381, 4.8120 and 7.6434 Å and the angles 90.00°, 110.41° and 90.00°. The distinct sites, in fractional coordinates, are V at (0.0000, 0.0000, 0.0000), V at (0.1320, 0.5000, 0.3663), V at (0.1961, 0.5000, 0.8795), Fe at (0.0000, 0.2507, 0.5000), Co at (0.0206, 0.5000, 0.8547), Co at (0.1079, 0.0000, 0.7982), Co at (0.1530, 0.2511, 0.1109) and Co at (0.1998, 0.2305, 0.6155).

The formation enthalpy at 0 K comes out at 0.270 eV/atom.

***

No. 20
V3FeCo2 | PBE | optimized geometry

The structure belongs to space group Cmmm (No. 65); the cell edges are 4.0720, 12.1975 and 2.8992 Å and the angles 90.00°, 90.00° and 90.00°. The distinct sites, in fractional coordinates, are V at (0.0000, 0.0000, 0.0000), V at (0.0000, 0.3353, 0.0000), Fe at (0.0000, 0.5000, 0.5000) and Co at (0.0000, 0.1677, 0.5000).

The formation enthalpy at 0 K comes out at -0.084 eV/atom.